An optimized crystal structure of Dy6ThTl, computed with PBE-GGA.

Results
The formation energy comes out at -5.2 kJ per mole of atoms. For the volume, the calculation gives 30.2 A^3/atom. Its total magnetic moment is 0.00 μB/f.u.

abc: 4.916 4.916 9.984
angles: 90.00 90.00 90.00
Positions (direct):
Th  0.000  0.000  0.500
Dy  0.500  0.500  0.000
Dy  0.500  0.000  0.753
Dy  0.000  0.500  0.753
Dy  0.500  0.500  0.500
Tl  0.000  0.000  0.000
Dy  0.000  0.500  0.247
Dy  0.500  0.000  0.247